Entry from the Alexandria database: crystalline Rb2SrZrI6 at its relaxed geometry (PBE-GGA).

Cell lengths 8.7391, 8.7391, 8.7391 Å; angles 60.00, 60.00, 60.00 degrees
Closest atoms and distances in Å follow each position.
Positions (direct):
Rb: 0.2500 0.2500 0.2500  12 I 4.37
Rb: 0.7500 0.7500 0.7500  12 I 4.37
Sr: 0.0000 0.0000 0.0000  6 I 3.21
Zr: 0.5000 0.5000 0.5000  6 I 2.97
I: 0.2598 0.2598 0.7402  1 Zr 2.97, 1 Sr 3.21
I: 0.2598 0.7402 0.2598  1 Zr 2.97, 1 Sr 3.21
I: 0.2598 0.7402 0.7402  1 Zr 2.97, 1 Sr 3.21
I: 0.7402 0.2598 0.2598  1 Zr 2.97, 1 Sr 3.21
I: 0.7402 0.2598 0.7402  1 Zr 2.97, 1 Sr 3.21
I: 0.7402 0.7402 0.2598  1 Zr 2.97, 1 Sr 3.21

**Uncorrected formation energy**: -1.20 eV per atom
**Crystal system**: cubic
**M_tot**: 2.0 μB/cell